A geometry-optimized Na2HgMoF8 structure. Source: Alexandria, functional GGA+U.

Lattice parameters (Å, degrees): 5.0204 5.1187 7.4117 89.50 89.51 87.23
Fractional positions:
Na 0.0040 0.0047 0.2528
Na 0.9960 0.9953 0.7472
Hg 0.5000 0.5000 0.0000
Mo 0.5000 0.5000 0.5000
F 0.2007 0.7943 0.0006
F 0.2144 0.7800 0.4996
F 0.3101 0.3111 0.6938
F 0.3154 0.3127 0.2953
F 0.6846 0.6873 0.7047
F 0.6899 0.6889 0.3062
F 0.7856 0.2200 0.5004
F 0.7993 0.2057 0.9994

Results
- D(E_F) (states/eV/f.u.) = 0.0
- magnetic moment (μB per formula unit) = 2.00
- DFT total energy (eV per atom) = -4.4744